AlOsAuC2 | PBE | optimized geometry

Cell: 3.8680 3.8680 4.8983 Å, 90.00 90.00 90.00°
Element x y z (fractional)
Al: 0.0000 0.0000 0.0000
Os: 0.5000 0.5000 0.5000
Au: 0.0000 0.0000 0.5000
C: 0.0000 0.5000 0.0000
C: 0.5000 0.0000 0.0000

Summary:
ΔE_f   2303 meV/atom

---

Al2PAuC | PBE | optimized geometry

Cell: 4.7590 4.7590 4.6302 Å, 90.00 90.00 90.00°
Element x y z (fractional)
Al: 0.0000 0.5000 0.0000
Al: 0.5000 0.0000 0.0000
P: 0.0000 0.0000 0.0000
Au: 0.0000 0.0000 0.5000
C: 0.5000 0.5000 0.5000

Summary:
ΔE_f   1562 meV/atom

---

AlPAuC2 | PBE | optimized geometry

Cell: 3.4928 3.4928 6.9022 Å, 90.00 90.00 90.00°
Element x y z (fractional)
Al: 0.0000 0.0000 0.0000
P: 0.5000 0.5000 0.5000
Au: 0.5000 0.5000 0.0000
C: 0.0000 0.5000 0.5000
C: 0.5000 0.0000 0.5000

Summary:
ΔE_f   1406 meV/atom

---

Al2ReAuC | PBE | optimized geometry

Cell: 4.1471 4.1471 3.9807 Å, 90.00 90.00 90.00°
Element x y z (fractional)
Al: 0.0000 0.5000 0.0000
Al: 0.5000 0.0000 0.0000
Re: 0.0000 0.0000 0.5000
Au: 0.5000 0.5000 0.5000
C: 0.0000 0.0000 0.0000

Summary:
ΔE_f   161 meV/atom

---

Al2RuAuC | PBE | optimized geometry

Cell: 4.6957 4.6957 5.1506 Å, 90.00 90.00 90.00°
Element x y z (fractional)
Al: 0.0000 0.5000 0.0000
Al: 0.5000 0.0000 0.0000
Ru: 0.0000 0.0000 0.5000
Au: 0.0000 0.0000 0.0000
C: 0.5000 0.5000 0.5000

Summary:
ΔE_f   2034 meV/atom

---

AlAuCS2 | PBE | optimized geometry

Cell: 4.4918 4.4918 5.1347 Å, 90.00 90.00 90.00°
Element x y z (fractional)
Al: 0.0000 0.0000 0.0000
Au: 0.0000 0.0000 0.5000
C: 0.5000 0.5000 0.5000
S: 0.0000 0.5000 0.0000
S: 0.5000 0.0000 0.0000

Summary:
Formation energy without anion corrections   1.552 eV per atom

---

Sc2AlAuC | PBE | optimized geometry

Cell: 4.5712 4.5712 3.9170 Å, 90.00 90.00 90.00°
Element x y z (fractional)
Sc: 0.0000 0.5000 0.0000
Sc: 0.5000 0.0000 0.0000
Al: 0.0000 0.0000 0.5000
Au: 0.5000 0.5000 0.5000
C: 0.0000 0.0000 0.0000

Summary:
ΔE_f   -579 meV/atom

---

SrAlAu2C | PBE | optimized geometry

Cell: 4.7389 4.7389 6.4654 Å, 90.00 90.00 90.00°
Element x y z (fractional)
Sr: 0.0000 0.0000 0.0000
Al: 0.0000 0.0000 0.5000
Au: 0.0000 0.5000 0.5000
Au: 0.5000 0.0000 0.5000
C: 0.5000 0.5000 0.0000

Summary:
ΔE_f   1097 meV/atom

---

Ti2AlAuC | PBE | optimized geometry

Cell: 4.2005 4.2005 4.0363 Å, 90.00 90.00 90.00°
Element x y z (fractional)
Ti: 0.0000 0.5000 0.0000
Ti: 0.5000 0.0000 0.0000
Al: 0.0000 0.0000 0.5000
Au: 0.5000 0.5000 0.5000
C: 0.0000 0.0000 0.0000

Summary:
ΔE_f   -479 meV/atom

---

CaAl2Au | PBE | optimized geometry

Cell: 4.8096 4.8096 17.9454 Å, 90.00 90.00 90.00°
Element x y z (fractional)
Ca: 0.0000 0.0000 0.0000
Ca: 0.0000 0.5000 0.2500
Ca: 0.5000 0.0000 0.7500
Ca: 0.5000 0.5000 0.5000
Al: 0.0750 0.2500 0.6250
Al: 0.2500 0.5750 0.8750
Al: 0.2500 0.9250 0.3750
Al: 0.4250 0.2500 0.1250
Al: 0.5750 0.7500 0.1250
Al: 0.7500 0.0750 0.3750
Al: 0.7500 0.4250 0.8750
Al: 0.9250 0.7500 0.6250
Au: 0.0000 0.0000 0.5000
Au: 0.0000 0.5000 0.7500
Au: 0.5000 0.0000 0.2500
Au: 0.5000 0.5000 0.0000

Summary:
ΔE_f   -198 meV/atom

---

Ca2Al3Au4 | PBE | optimized geometry

Cell: 8.4501 8.4501 7.7161 Å, 90.00 90.00 139.16°
Element x y z (fractional)
Ca: 0.1049 0.8951 0.9057
Ca: 0.3951 0.6049 0.4057
Ca: 0.6049 0.3951 0.5943
Ca: 0.8951 0.1049 0.0943
Al: 0.0000 0.0000 0.5000
Al: 0.0218 0.4782 0.7500
Al: 0.4782 0.0218 0.2500
Al: 0.5000 0.5000 0.0000
Al: 0.5218 0.9782 0.7500
Al: 0.9782 0.5218 0.2500
Au: 0.1824 0.8176 0.5288
Au: 0.1906 0.3094 0.7500
Au: 0.3094 0.1906 0.2500
Au: 0.3176 0.6824 0.0288
Au: 0.6824 0.3176 0.9712
Au: 0.6906 0.8094 0.7500
Au: 0.8094 0.6906 0.2500
Au: 0.8176 0.1824 0.4712

Summary:
ΔE_f   -654 meV/atom

---

Ca3AlAu4 | PBE | optimized geometry

Cell: 4.2280 6.6927 14.5573 Å, 90.00 90.00 90.00°
Element x y z (fractional)
Ca: 0.0000 0.0000 0.0000
Ca: 0.0000 0.5000 0.1925
Ca: 0.0000 0.5000 0.8075
Ca: 0.5000 0.0000 0.3075
Ca: 0.5000 0.0000 0.6925
Ca: 0.5000 0.5000 0.5000
Al: 0.0000 0.0000 0.5000
Al: 0.5000 0.5000 0.0000
Au: 0.0000 0.2900 0.3837
Au: 0.0000 0.2900 0.6163
Au: 0.0000 0.7100 0.3837
Au: 0.0000 0.7100 0.6163
Au: 0.5000 0.2100 0.1163
Au: 0.5000 0.2100 0.8837
Au: 0.5000 0.7900 0.1163
Au: 0.5000 0.7900 0.8837

Summary:
ΔE_f   -647 meV/atom

---

Number 1: E -5.036 eV/atom. Number 2: E -3.518 eV/atom. Number 3: E -4.770 eV/atom. Number 4: E -6.326 eV/atom. Number 5: E -3.818 eV/atom. Number 6: E -3.348 eV/atom. Number 7: E -6.361 eV/atom. Number 8: E -3.143 eV/atom. Number 9: E -6.886 eV/atom. Number 10: E -3.389 eV/atom. Number 11: E -3.803 eV/atom. Number 12: E -3.504 eV/atom.